Entry 1:
VASP calculation (PBE) on a relaxed P2H5I2 crystal.

a b c (Å): 10.0424 10.0424 10.0424
angles (deg): 61.62 150.32 127.34
Fractional coordinates of all 18 atoms:
P1 0.0000 0.0000 0.0000
P2 0.0000 0.5000 0.5000
P3 0.1445 0.0414 0.6031
P4 0.4383 0.5414 0.3969
H1 0.1531 0.9055 0.7476
H2 0.1579 0.4055 0.2524
H3 0.2683 0.1452 0.1992
H4 0.2683 0.5691 0.6231
H5 0.5754 0.4423 0.5109
H6 0.5754 0.5646 0.6331
H7 0.9315 0.0646 0.4891
H8 0.9315 0.9423 0.3669
H9 0.9460 0.0691 0.8008
H10 0.9460 0.6452 0.3769
I1 0.2491 0.5563 0.9296
I2 0.2491 0.8196 0.1929
I3 0.6267 0.0563 0.8071
I4 0.6267 0.3196 0.0704

Computed properties:
space group: Ima2 (46)
calculated total energy: -3.404 eV per atom

=====

Entry 2:
VASP calculation (PBE) on a relaxed ScCrSi3 crystal.

a b c (Å): 4.4302 4.4302 4.4302
angles (deg): 90.00 90.00 90.00
Fractional coordinates of all 5 atoms:
Sc1 0.0000 0.0000 0.0000
Cr1 0.5000 0.5000 0.5000
Si1 0.0000 0.5000 0.5000
Si2 0.5000 0.0000 0.5000
Si3 0.5000 0.5000 0.0000

Computed properties:
space group: Pm-3m (221)
energy above the most stable polymorph in this dataset: 0 meV/atom
uncorrected formation energy: 0.8 eV/f.u.

=====

Entry 3:
VASP calculation (PBE) on a relaxed HfZr2Ta crystal.

a b c (Å): 4.9411 4.9411 4.9411
angles (deg): 60.00 60.00 60.00
Fractional coordinates of all 4 atoms:
Hf1 0.0000 0.0000 0.0000
Zr1 0.2500 0.2500 0.2500
Zr2 0.7500 0.7500 0.7500
Ta1 0.5000 0.5000 0.5000

Computed properties:
space group: Fm-3m (225)
energy above the most stable polymorph in this dataset: 27 meV/atom
DFT formation energy: 163 meV/atom

=====

Entry 4:
VASP calculation (PBE) on a relaxed LaUCrC3 crystal.

a b c (Å): 7.4412 3.5766 7.6107
angles (deg): 90.00 99.48 90.00
Fractional coordinates of all 12 atoms:
La1 0.1722 0.2500 0.1925
La2 0.8278 0.7500 0.8075
U1 0.3534 0.7500 0.8301
U2 0.6466 0.2500 0.1699
Cr1 0.0929 0.2500 0.5920
Cr2 0.9071 0.7500 0.4080
C1 0.1348 0.2500 0.8416
C2 0.1580 0.7500 0.5251
C3 0.4385 0.7500 0.1263
C4 0.5615 0.2500 0.8737
C5 0.8420 0.2500 0.4749
C6 0.8652 0.7500 0.1584

Computed properties:
space group: P2_1/m (11)
DFT formation energy: -11 meV/atom

=====

Entry 5:
VASP calculation (PBE) on a relaxed Ca2LaDyTe4 crystal.

a b c (Å): 7.7245 4.4525 7.8568
angles (deg): 90.00 109.08 90.00
Fractional coordinates of all 8 atoms:
Ca1 0.0000 0.0000 0.0000
Ca2 0.5000 0.5000 0.0000
La1 0.0000 0.5000 0.5000
Dy1 0.5000 0.0000 0.5000
Te1 0.2584 0.5000 0.2510
Te2 0.2604 0.0000 0.7550
Te3 0.7396 0.0000 0.2450
Te4 0.7416 0.5000 0.7490

Computed properties:
space group: P2/m (10)
uncorrected formation energy: -12.1 eV/f.u.

=====

Entry 6:
VASP calculation (PBE) on a relaxed Tb3Dy2Tm9 crystal.

a b c (Å): 6.1768 8.5647 8.6833
angles (deg): 79.97 75.96 87.27
Fractional coordinates of all 14 atoms:
Tb1 0.0000 0.0000 0.0000
Tb2 0.1735 0.3402 0.1968
Tb3 0.4848 0.7523 0.5461
Dy1 0.6994 0.3324 0.9654
Dy2 0.8170 0.4074 0.5621
Tm1 0.0420 0.7573 0.3654
Tm2 0.1481 0.0659 0.5579
Tm3 0.2542 0.3760 0.7669
Tm4 0.3284 0.6836 0.9646
Tm5 0.4432 0.9756 0.1652
Tm6 0.5798 0.0390 0.7660
Tm7 0.7114 0.6050 0.1910
Tm8 0.7208 0.1241 0.3632
Tm9 0.8962 0.7052 0.7766

Computed properties:
space group: P1 (1)
DFT formation energy: 114 meV/atom

=====

Entry 7:
VASP calculation (PBE) on a relaxed CeTmOs crystal.

a b c (Å): 4.7898 4.7898 8.2089
angles (deg): 106.91 106.91 59.90
Fractional coordinates of all 6 atoms:
Ce1 0.1237 0.1237 0.3706
Ce2 0.8763 0.8763 0.6294
Tm1 0.3734 0.3734 0.1199
Tm2 0.6266 0.6266 0.8801
Os1 0.2477 0.2477 0.7427
Os2 0.7523 0.7523 0.2573

Computed properties:
space group: C2/m (12)
energy above the most stable polymorph in this dataset: 4 meV/atom
DFT formation energy: -186 meV/atom

=====

Entry 8:
VASP calculation (PBE) on a relaxed PuMgCdSi crystal.

a b c (Å): 4.9676 4.9676 4.9676
angles (deg): 60.00 60.00 60.00
Fractional coordinates of all 4 atoms:
Pu1 0.0000 0.0000 0.0000
Mg1 0.5000 0.5000 0.5000
Cd1 0.2500 0.2500 0.2500
Si1 0.7500 0.7500 0.7500

Computed properties:
space group: F-43m (216)
uncorrected formation energy: -0.4 eV/f.u.

=====

Entry 9:
VASP calculation (PBE) on a relaxed Cs3Pu3NpTe8 crystal.

a b c (Å): 9.0911 9.0911 10.4578
angles (deg): 115.85 115.85 59.98
Fractional coordinates of all 15 atoms:
Cs1 0.0000 0.0000 0.0000
Cs2 0.0000 0.5000 0.0000
Cs3 0.5000 0.0000 0.0000
Pu1 0.0000 0.5000 0.5000
Pu2 0.5000 0.0000 0.5000
Pu3 0.5000 0.5000 0.5000
Np1 0.0000 0.0000 0.5000
Te1 0.2274 0.2274 0.6858
Te2 0.2273 0.7318 0.6857
Te3 0.2682 0.7727 0.3143
Te4 0.2703 0.2703 0.3115
Te5 0.7297 0.7297 0.6885
Te6 0.7318 0.2273 0.6857
Te7 0.7727 0.2682 0.3143
Te8 0.7726 0.7726 0.3142

Computed properties:
space group: C2/m (12)
uncorrected formation energy: -15.3 eV/f.u.

=====

Entry 10:
VASP calculation (PBE) on a relaxed SrLiIr2 crystal.

a b c (Å): 3.9583 3.9583 4.6109
angles (deg): 90.00 90.00 90.00
Fractional coordinates of all 4 atoms:
Sr1 0.0000 0.0000 0.0000
Li1 0.5000 0.5000 0.0000
Ir1 0.0000 0.5000 0.5000
Ir2 0.5000 0.0000 0.5000

Computed properties:
space group: P4/mmm (123)
energy above the most stable polymorph in this dataset: 139 meV/atom
DFT formation energy: 217 meV/atom

=====

Entry 11:
VASP calculation (PBE) on a relaxed Li5CuIr crystal.

a b c (Å): 4.6535 4.6535 9.9361
angles (deg): 90.05 90.05 78.63
Fractional coordinates of all 14 atoms:
Li1 0.0484 0.3450 0.6037
Li2 0.0486 0.3462 0.8958
Li3 0.1883 0.8117 0.7500
Li4 0.3450 0.0484 0.1037
Li5 0.3462 0.0486 0.3958
Li6 0.6538 0.9514 0.6042
Li7 0.6550 0.9516 0.8963
Li8 0.8117 0.1883 0.2500
Li9 0.9514 0.6538 0.1042
Li10 0.9516 0.6550 0.3963
Cu1 0.4089 0.5911 0.2500
Cu2 0.5911 0.4089 0.7500
Ir1 0.5000 0.5000 0.0000
Ir2 0.5000 0.5000 0.5000

Computed properties:
space group: C2/c (15)
DFT formation energy: -27 meV/atom

=====

Entry 12:
VASP calculation (PBE) on a relaxed CsCa2Cd crystal.

a b c (Å): 12.7596 12.7596 12.7596
angles (deg): 18.69 18.69 18.69
Fractional coordinates of all 4 atoms:
Cs1 0.0000 0.0000 0.0000
Ca1 0.1090 0.1090 0.1090
Ca2 0.8910 0.8910 0.8910
Cd1 0.5000 0.5000 0.5000

Computed properties:
space group: R-3m (166)
DFT formation energy: 74 meV/atom

=====

Computed values of magnetic moment (unit: μB/f.u.) for the preceding records, in sequence: 0.00 0.00 0.00 0.00 0.00 0.00 0.44 5.68 18.00 0.40 0.00 0.00.